(1)
{"formula": "PuAgRhPb", "functional": "PBE-GGA", "state": "optimized geometry", "crystal_system": "cubic", "delta_e_f_ev_per_atom": -0.055, "energy_ev_per_atom": -7.116, "rho_g_cm3": 12.8, "spacegroup": "F-43m (216)", "lattice": [[6.9955, 0.0000, 0.0000], [0.0000, 6.9955, 0.0000], [0.0000, 0.0000, 6.9955]], "species": ["Pu", "Pu", "Pu", "Pu", "Ag", "Ag", "Ag", "Ag", "Rh", "Rh", "Rh", "Rh", "Pb", "Pb", "Pb", "Pb"], "fractional_positions": [[0.0000, 0.0000, 0.0000], [0.0000, 0.5000, 0.5000], [0.5000, 0.0000, 0.5000], [0.5000, 0.5000, 0.0000], [0.2500, 0.2500, 0.7500], [0.2500, 0.7500, 0.2500], [0.7500, 0.2500, 0.2500], [0.7500, 0.7500, 0.7500], [0.2500, 0.2500, 0.2500], [0.2500, 0.7500, 0.7500], [0.7500, 0.2500, 0.7500], [0.7500, 0.7500, 0.2500], [0.0000, 0.0000, 0.5000], [0.0000, 0.5000, 0.0000], [0.5000, 0.0000, 0.0000], [0.5000, 0.5000, 0.5000]]}


(2)
{"formula": "PuScAgPb", "functional": "PBE-GGA", "state": "optimized geometry", "crystal_system": "cubic", "delta_e_f_ev_per_atom": -0.147, "energy_ev_per_atom": -6.953, "rho_g_cm3": 10.1, "spacegroup": "F-43m (216)", "lattice": [[7.3410, 0.0000, 0.0000], [0.0000, 7.3410, 0.0000], [0.0000, 0.0000, 7.3410]], "species": ["Pu", "Pu", "Pu", "Pu", "Sc", "Sc", "Sc", "Sc", "Ag", "Ag", "Ag", "Ag", "Pb", "Pb", "Pb", "Pb"], "fractional_positions": [[0.0000, 0.0000, 0.0000], [0.0000, 0.5000, 0.5000], [0.5000, 0.0000, 0.5000], [0.5000, 0.5000, 0.0000], [0.0000, 0.0000, 0.5000], [0.0000, 0.5000, 0.0000], [0.5000, 0.0000, 0.0000], [0.5000, 0.5000, 0.5000], [0.2500, 0.2500, 0.2500], [0.2500, 0.7500, 0.7500], [0.7500, 0.2500, 0.7500], [0.7500, 0.7500, 0.2500], [0.2500, 0.2500, 0.7500], [0.2500, 0.7500, 0.2500], [0.7500, 0.2500, 0.2500], [0.7500, 0.7500, 0.7500]]}